Record 1
Entry from the Alexandria database: a geometry-optimized YPdAu3 structure (PBE).

```
YPdAu3
1.0
5.371 0.000 0.000
0.000 5.371 0.000
0.000 0.000 5.371
Y Au Pd
1 3 1
Cartesian
0.000 0.000 0.000 Y
0.000 2.686 0.000 Au
0.000 0.000 2.686 Au
2.686 0.000 0.000 Au
2.686 2.686 2.686 Pd
```

## Properties
Total energy: -3.554 eV/atom
DOS at the Fermi energy: 1.8 states/eV/cell
DFT formation energy: 0.744 eV per atom
Size of the total moment: 0.00 μB per formula unit

=====

Record 2
Entry from the Alexandria database: a geometry-optimized Y2Pd5Au2 structure (PBE).

```
Y2Pd5Au2
1.0
-1.310 6.382 1.441
-5.213 -2.177 4.904
8.260 -2.260 2.071
Y Pd Au
4 10 4
Cartesian
-2.722 4.256 5.062 Y
4.130 -2.449 3.663 Y
0.157 4.017 2.310 Y
1.251 -2.210 6.415 Y
-3.734 0.558 4.425 Pd
3.241 0.456 6.089 Pd
-0.910 0.587 1.734 Pd
5.631 2.604 3.876 Pd
1.498 1.547 1.835 Pd
0.645 0.567 6.199 Pd
-1.142 0.623 4.325 Pd
3.285 1.491 3.710 Pd
0.035 2.997 5.063 Pd
3.539 -0.286 1.624 Pd
-4.612 -1.926 4.339 Au
-2.660 2.354 2.607 Au
1.403 -0.651 3.649 Au
-1.902 1.663 6.869 Au
```

## Properties
Total energy: -5.527 eV/atom
DOS at the Fermi energy: 7.9 states/eV/cell
DFT formation energy: -0.478 eV per atom
Size of the total moment: 0.00 μB per formula unit

=====

Record 3
Entry from the Alexandria database: a geometry-optimized Y3Pd2Au2 structure (PBE).

```
Y3Pd2Au2
1.0
-1.383 -1.450 -4.574
4.120 -1.701 2.129
-5.822 -3.431 5.595
Y Pd Au
3 2 2
Cartesian
0.000 0.000 0.000 Y
-4.086 -3.050 2.263 Y
1.002 -3.532 0.887 Y
-1.548 -2.056 1.065 Pd
-1.537 -4.526 2.085 Pd
-0.217 -2.573 -1.800 Au
-2.867 -4.009 4.951 Au
```

## Properties
Total energy: -5.942 eV/atom
DOS at the Fermi energy: 4.9 states/eV/cell
DFT formation energy: -0.751 eV per atom
Size of the total moment: 0.00 μB per formula unit

=====

What did the second record say?
Entry from the Alexandria database: a geometry-optimized Y2Pd5Au2 structure (PBE).

```
Y2Pd5Au2
1.0
-1.310 6.382 1.441
-5.213 -2.177 4.904
8.260 -2.260 2.071
Y Pd Au
4 10 4
Cartesian
-2.722 4.256 5.062 Y
4.130 -2.449 3.663 Y
0.157 4.017 2.310 Y
1.251 -2.210 6.415 Y
-3.734 0.558 4.425 Pd
3.241 0.456 6.089 Pd
-0.910 0.587 1.734 Pd
5.631 2.604 3.876 Pd
1.498 1.547 1.835 Pd
0.645 0.567 6.199 Pd
-1.142 0.623 4.325 Pd
3.285 1.491 3.710 Pd
0.035 2.997 5.063 Pd
3.539 -0.286 1.624 Pd
-4.612 -1.926 4.339 Au
-2.660 2.354 2.607 Au
1.403 -0.651 3.649 Au
-1.902 1.663 6.869 Au
```

## Properties
Total energy: -5.527 eV/atom
DOS at the Fermi energy: 7.9 states/eV/cell
DFT formation energy: -0.478 eV per atom
Size of the total moment: 0.00 μB per formula unit

=====

Among the records above, which one has the highest total energy? YPdAu3